NaCeV2O8 | PBE+U | optimized geometry

a = 5.8705 Å, b = 5.8705 Å, c = 6.8857 Å
α = 90.00°, β = 90.00°, γ = 120.00°
Space group P-3m1 (No. 164)
One atom of each set of equivalent atoms:
Na  0.0000  0.0000  0.0000 (multiplicity 1)
Ce  0.0000  0.0000  0.5000 (multiplicity 1)
V  0.3333  0.6667  0.2094 (multiplicity 2)
O  0.1685  0.3371  0.2905 (multiplicity 6)
O  0.3333  0.6667  0.9662 (multiplicity 2)

Results
- ρ: 3.2 g cm⁻³
- Final energy: -7.222 eV per atom
- Crystal system: trigonal